Record 1
Material: Mn2P
Method: DFT, PBE
State: relaxed

Calculated values
**Density of states at the Fermi level**: 0.67 states/eV/atom
**DFT formation energy**: -0.08 eV/atom

Lattice parameters (Å, degrees): 5.437 5.437 5.437 90.00 90.00 90.00
Space group Pa-3 (No. 205)
One atom of each set of equivalent atoms:
1 Mn 0.142 0.142 0.142 (multiplicity 8)
2 P 0.000 0.000 0.500 (multiplicity 4)


Record 2
Material: SrCuAsBr2
Method: DFT, PBE
State: relaxed

Calculated values
**Raw formation energy**: 3 kJ/mol of atoms
**Density of states at the Fermi level**: 0.54 states/eV/atom
**Energy above the most stable polymorph in this dataset**: 604 meV/atom

Lattice parameters (Å, degrees): 5.838 5.838 6.307 90.00 90.00 90.00
Space group P4/mmm (No. 123)
One atom of each set of equivalent atoms:
1 Sr 0.000 0.000 0.000 (multiplicity 1)
2 Cu 0.500 0.500 0.500 (multiplicity 1)
3 As 0.000 0.000 0.500 (multiplicity 1)
4 Br 0.000 0.500 0.000 (multiplicity 2)


Record 3
Material: ReTe2Au
Method: DFT, PBE
State: relaxed

Calculated values
**Raw formation energy**: 38 kJ/mol of atoms
**Density of states at the Fermi level**: 0.60 states/eV/atom
**Energy above the most stable polymorph in this dataset**: 127 meV/atom

Lattice parameters (Å, degrees): 4.295 4.293 6.070 90.00 90.23 90.00
Space group Pm (No. 6)
One atom of each set of equivalent atoms:
1 Re 0.000 0.000 0.000 (multiplicity 1)
2 Te 0.501 0.000 0.247 (multiplicity 1)
3 Te 0.999 0.500 0.765 (multiplicity 1)
4 Au 0.001 0.500 0.308 (multiplicity 1)


Record 4
Material: HoSi2Pd2Pt
Method: DFT, PBE
State: relaxed

Calculated values
**Raw formation energy**: -41 kJ/mol of atoms
**Density of states at the Fermi level**: 0.69 states/eV/atom

Lattice parameters (Å, degrees): 4.574 4.574 5.567 90.00 90.00 90.00
Space group P4/mmm (No. 123)
One atom of each set of equivalent atoms:
1 Ho 0.000 0.000 0.000 (multiplicity 1)
2 Si 0.000 0.500 0.500 (multiplicity 2)
3 Pd 0.500 0.500 0.247 (multiplicity 2)
4 Pt 0.000 0.000 0.500 (multiplicity 1)


Record 5
Material: Tb6Sm4Zr
Method: DFT, PBE
State: relaxed

Calculated values
**Density of states at the Fermi level**: 1.53 states/eV/atom
**DFT formation energy**: 0.14 eV/atom

Lattice parameters (Å, degrees): 8.711 8.711 9.176 90.00 90.00 90.00
Space group P4/mnc (No. 128)
One atom of each set of equivalent atoms:
1 Tb 0.000 0.000 0.176 (multiplicity 4)
2 Tb 0.152 0.342 0.500 (multiplicity 8)
3 Sm 0.145 0.645 0.250 (multiplicity 8)
4 Zr 0.000 0.000 0.500 (multiplicity 2)


Record 6
Material: LaNpVN3
Method: DFT, PBE
State: relaxed

Calculated values
**Raw formation energy**: -101 kJ/mol of atoms
**Density of states at the Fermi level**: 1.50 states/eV/atom

Lattice parameters (Å, degrees): 7.357 3.487 7.654 90.00 99.75 90.00
Space group P2_1/m (No. 11)
One atom of each set of equivalent atoms:
1 La 0.171 0.250 0.179 (multiplicity 2)
2 Np 0.356 0.750 0.832 (multiplicity 2)
3 V 0.093 0.250 0.597 (multiplicity 2)
4 N 0.125 0.250 0.849 (multiplicity 2)
5 N 0.166 0.750 0.515 (multiplicity 2)
6 N 0.424 0.750 0.126 (multiplicity 2)


Number 1: DFT total energy -96.0 eV for the cell shown, volume 160.8 Å³/cell. Number 2: DFT total energy -13.6 eV for the cell shown, volume 214.9 Å³/cell. Number 3: DFT total energy -20.4 eV for the cell shown, volume 111.9 Å³/cell. Number 4: DFT total energy -34.4 eV for the cell shown, volume 116.5 Å³/cell. Number 5: DFT total energy -107.3 eV for the cell shown, volume 696.2 Å³/cell. Number 6: DFT total energy -116.5 eV for the cell shown, volume 193.5 Å³/cell.